# PBEsol Zn2CuNi, optimized geometry
data_Zn2CuNi
_symmetry_space_group_name_H-M 'P 1'
_symmetry_Int_Tables_number 1
_cell_length_a 2.648
_cell_length_b 4.273
_cell_length_c 4.574
_cell_angle_alpha 104.60
_cell_angle_beta 106.82
_cell_angle_gamma 90.00
loop_
_symmetry_equiv_pos_as_xyz
'x,y,z'
loop_
_atom_site_label
_atom_site_type_symbol
_atom_site_fract_x
_atom_site_fract_y
_atom_site_fract_z
_atom_site_occupancy
Ni1 Ni 0.752 0.227 0.504 1
Zn1 Zn 0.006 0.032 0.012 1
Zn2 Zn 0.247 0.722 0.494 1
Cu1 Cu 0.495 0.518 0.990 1
# - SG: No. 8
# - VASP energy: -3.56 eV/atom



# PBEsol Zn2CuNi, optimized geometry
data_Zn2CuNi
_symmetry_space_group_name_H-M 'P 1'
_symmetry_Int_Tables_number 1
_cell_length_a 3.560
_cell_length_b 3.547
_cell_length_c 4.527
_cell_angle_alpha 112.98
_cell_angle_beta 113.15
_cell_angle_gamma 90.00
loop_
_symmetry_equiv_pos_as_xyz
'x,y,z'
loop_
_atom_site_label
_atom_site_type_symbol
_atom_site_fract_x
_atom_site_fract_y
_atom_site_fract_z
_atom_site_occupancy
Ni1 Ni 0.250 0.750 0.500 1
Zn1 Zn 0.000 0.000 0.000 1
Zn2 Zn 0.750 0.250 0.500 1
Cu1 Cu 0.500 0.500 0.000 1
# - SG: No. 44
# - VASP energy: -3.57 eV/atom



# PBEsol Zn2CuNi, optimized geometry
data_Zn2CuNi
_symmetry_space_group_name_H-M 'P 1'
_symmetry_Int_Tables_number 1
_cell_length_a 2.613
_cell_length_b 2.613
_cell_length_c 8.258
_cell_angle_alpha 80.90
_cell_angle_beta 80.90
_cell_angle_gamma 60.00
loop_
_symmetry_equiv_pos_as_xyz
'x,y,z'
loop_
_atom_site_label
_atom_site_type_symbol
_atom_site_fract_x
_atom_site_fract_y
_atom_site_fract_z
_atom_site_occupancy
Ni1 Ni 0.000 0.000 0.000 1
Zn1 Zn 0.252 0.252 0.244 1
Zn2 Zn 0.748 0.748 0.756 1
Cu1 Cu 0.500 0.500 0.500 1
# - SG: No. 166
# - VASP energy: -3.52 eV/atom



# PBEsol Zn2CuNi, optimized geometry
data_Zn2CuNi
_symmetry_space_group_name_H-M 'P 1'
_symmetry_Int_Tables_number 1
_cell_length_a 2.653
_cell_length_b 4.298
_cell_length_c 4.298
_cell_angle_alpha 104.19
_cell_angle_beta 90.00
_cell_angle_gamma 90.00
loop_
_symmetry_equiv_pos_as_xyz
'x,y,z'
loop_
_atom_site_label
_atom_site_type_symbol
_atom_site_fract_x
_atom_site_fract_y
_atom_site_fract_z
_atom_site_occupancy
Ni1 Ni 0.500 0.500 0.500 1
Zn1 Zn 0.000 0.500 0.000 1
Zn2 Zn 0.000 0.000 0.500 1
Cu1 Cu 0.500 0.000 0.000 1
# - SG: No. 65
# - VASP energy: -3.59 eV/atom



# PBEsol Zn2CuNi, optimized geometry
data_Zn2CuNi
_symmetry_space_group_name_H-M 'P 1'
_symmetry_Int_Tables_number 1
_cell_length_a 2.664
_cell_length_b 3.353
_cell_length_c 5.317
_cell_angle_alpha 90.00
_cell_angle_beta 90.03
_cell_angle_gamma 90.00
loop_
_symmetry_equiv_pos_as_xyz
'x,y,z'
loop_
_atom_site_label
_atom_site_type_symbol
_atom_site_fract_x
_atom_site_fract_y
_atom_site_fract_z
_atom_site_occupancy
Ni1 Ni 0.500 0.500 0.500 1
Zn1 Zn 0.000 0.000 0.743 1
Zn2 Zn 0.000 0.000 0.257 1
Cu1 Cu 0.500 0.500 0.000 1
# - SG: No. 47
# - VASP energy: -3.59 eV/atom



# PBEsol Zn2CuNi, optimized geometry
data_Zn2CuNi
_symmetry_space_group_name_H-M 'P 1'
_symmetry_Int_Tables_number 1
_cell_length_a 2.645
_cell_length_b 2.645
_cell_length_c 6.814
_cell_angle_alpha 90.00
_cell_angle_beta 90.00
_cell_angle_gamma 90.00
loop_
_symmetry_equiv_pos_as_xyz
'x,y,z'
loop_
_atom_site_label
_atom_site_type_symbol
_atom_site_fract_x
_atom_site_fract_y
_atom_site_fract_z
_atom_site_occupancy
Ni1 Ni 0.500 0.500 0.500 1
Zn1 Zn 0.000 0.000 0.741 1
Zn2 Zn 0.000 0.000 0.259 1
Cu1 Cu 0.500 0.500 0.000 1
# - SG: No. 123
# - VASP energy: -3.59 eV/atom



# PBEsol ZrCuNi4, optimized geometry
data_ZrCuNi4
_symmetry_space_group_name_H-M 'P 1'
_symmetry_Int_Tables_number 1
_cell_length_a 4.690
_cell_length_b 4.690
_cell_length_c 4.690
_cell_angle_alpha 60.00
_cell_angle_beta 60.00
_cell_angle_gamma 60.00
loop_
_symmetry_equiv_pos_as_xyz
'x,y,z'
loop_
_atom_site_label
_atom_site_type_symbol
_atom_site_fract_x
_atom_site_fract_y
_atom_site_fract_z
_atom_site_occupancy
Cu1 Cu 0.000 0.000 0.000 1
Ni1 Ni 0.878 0.374 0.374 1
Ni2 Ni 0.374 0.374 0.374 1
Ni3 Ni 0.374 0.374 0.878 1
Ni4 Ni 0.374 0.878 0.374 1
Zr1 Zr 0.750 0.750 0.750 1
# - SG: No. 216
# - VASP energy: -6.72 eV/atom



# PBEsol Zr2CuNi, optimized geometry
data_Zr2CuNi
_symmetry_space_group_name_H-M 'P 1'
_symmetry_Int_Tables_number 1
_cell_length_a 3.249
_cell_length_b 4.480
_cell_length_c 4.480
_cell_angle_alpha 89.84
_cell_angle_beta 90.00
_cell_angle_gamma 90.00
loop_
_symmetry_equiv_pos_as_xyz
'x,y,z'
loop_
_atom_site_label
_atom_site_type_symbol
_atom_site_fract_x
_atom_site_fract_y
_atom_site_fract_z
_atom_site_occupancy
Ni1 Ni 0.500 0.500 0.500 1
Cu1 Cu 0.500 0.000 0.000 1
Zr1 Zr 0.000 0.500 0.000 1
Zr2 Zr 0.000 0.000 0.500 1
# - SG: No. 65
# - VASP energy: -7.40 eV/atom



Ρ in Mg/m³, matching the order above: 8.8; 8.8; 8.8; 8.8; 8.8; 8.8; 8.9; 7.8
Total magnetic moment in μB per formula unit, matching the order above: 0.0; 0.0; 0.0; 0.0; 0.0; 0.0; 0.0; 0.0
Energy of formation from the pure elements in meV/atom, matching the order above: -147.2; -151.3; -110.8; -178.3; -178.2; -179.8; -377.1; -227.6